1.
Density functional theory data (GGA-PBE) for an optimized crystal structure of Al2AsRu2.

a = 6.886 Å, b = 6.886 Å, c = 3.172 Å
α = 90.00°, β = 90.00°, γ = 90.00°
Positions (direct):
As: 0.500 0.500 0.000
Ru: 0.160 0.340 0.000
Al: 0.862 0.362 0.500
Ru: 0.840 0.660 0.000
Ru: 0.660 0.160 0.000
Al: 0.362 0.138 0.500
Ru: 0.340 0.840 0.000
As: 0.000 0.000 0.000
Al: 0.138 0.638 0.500
Al: 0.638 0.862 0.500

Summary:
Density of states at the Fermi level, states/eV per cell: 9.9
Formation enthalpy at 0 K, eV/atom: -0.258
Magnetization, μB per formula unit: 0.000

---

2.
Density functional theory data (GGA-PBE) for an optimized crystal structure of Al4AsRu.

a = 5.137 Å, b = 5.137 Å, c = 5.137 Å
α = 60.00°, β = 60.00°, γ = 60.00°
Positions (direct):
Al: 0.375 0.375 0.876
As: 0.750 0.750 0.750
Al: 0.876 0.375 0.375
Al: 0.375 0.876 0.375
Ru: 0.000 0.000 0.000
Al: 0.375 0.375 0.375

Summary:
Density of states at the Fermi level, states/eV per cell: 3.1
Formation enthalpy at 0 K, eV/atom: 0.184
Magnetization, μB per formula unit: 0.000

---

3.
Density functional theory data (GGA-PBE) for an optimized crystal structure of AlAsRu2.

a = 8.224 Å, b = 8.224 Å, c = 8.224 Å
α = 20.55°, β = 20.55°, γ = 20.55°
Positions (direct):
Ru: 0.248 0.248 0.248
As: 0.746 0.746 0.746
Ru: 0.002 0.002 0.002
Al: 0.503 0.503 0.503

Summary:
Density of states at the Fermi level, states/eV per cell: 3.5
Formation enthalpy at 0 K, eV/atom: -0.009
Magnetization, μB per formula unit: 0.000
Offset from the most stable computed form, meV/atom: 394

---

4.
Density functional theory data (GGA-PBE) for an optimized crystal structure of AlAsRu.

a = 3.064 Å, b = 3.064 Å, c = 5.821 Å
α = 90.00°, β = 90.00°, γ = 120.00°
Positions (direct):
Al: 0.000 0.000 0.982
As: 0.667 0.333 0.357
Ru: 0.333 0.667 0.661

Summary:
Density of states at the Fermi level, states/eV per cell: 1.7
Formation enthalpy at 0 K, eV/atom: -0.253
Magnetization, μB per formula unit: 0.000

---

5.
Density functional theory data (GGA-PBE) for an optimized crystal structure of AlAsRu2.

a = 3.218 Å, b = 3.218 Å, c = 5.621 Å
α = 90.00°, β = 90.00°, γ = 90.00°
Site moments in Bohr magnetons follow the coordinates.
Positions (direct):
Ru: 0.000 0.000 0.956  0.23
Ru: 0.500 0.500 0.302  0.02
Al: 0.000 0.000 0.478  0.00
As: 0.500 0.500 0.764  0.00

Summary:
Density of states at the Fermi level, states/eV per cell: 3.2
Formation enthalpy at 0 K, eV/atom: -0.209
Magnetization, μB per formula unit: 0.247
Offset from the most stable computed form, meV/atom: 195

---

6.
Density functional theory data (GGA-PBE) for an optimized crystal structure of AlAsRu2.

a = 4.392 Å, b = 4.392 Å, c = 4.392 Å
α = 60.00°, β = 60.00°, γ = 60.00°
Site moments in Bohr magnetons follow the coordinates.
Positions (direct):
Ru: 0.250 0.250 0.250  0.56
Ru: 0.000 0.000 0.000  0.69
As: 0.750 0.750 0.750  -0.01
Al: 0.500 0.500 0.500  0.00

Summary:
Density of states at the Fermi level, states/eV per cell: 3.2
Formation enthalpy at 0 K, eV/atom: 0.138
Magnetization, μB per formula unit: 1.256
Offset from the most stable computed form, meV/atom: 542

---

7.
Density functional theory data (GGA-PBE) for an optimized crystal structure of AlAsRu2.

a = 4.278 Å, b = 4.278 Å, c = 4.278 Å
α = 60.00°, β = 60.00°, γ = 60.00°
Positions (direct):
As: 0.500 0.500 0.500
Ru: 0.250 0.250 0.250
Ru: 0.750 0.750 0.750
Al: 0.000 0.000 0.000

Summary:
Density of states at the Fermi level, states/eV per cell: 0.8
Formation enthalpy at 0 K, eV/atom: -0.386
Magnetization, μB per formula unit: 0.000
Offset from the most stable computed form, meV/atom: 18

---

8.
Density functional theory data (GGA-PBE) for an optimized crystal structure of AlAsRu2.

a = 4.755 Å, b = 4.755 Å, c = 4.408 Å
α = 73.63°, β = 73.63°, γ = 36.63°
Positions (direct):
Ru: 0.247 0.247 0.333
Ru: 0.003 0.003 0.929
Al: 0.504 0.504 0.433
As: 0.746 0.746 0.805

Summary:
Density of states at the Fermi level, states/eV per cell: 2.0
Formation enthalpy at 0 K, eV/atom: -0.330
Magnetization, μB per formula unit: 0.000
Offset from the most stable computed form, meV/atom: 73

---

9.
Density functional theory data (GGA-PBE) for an optimized crystal structure of AlAsRu2.

a = 2.897 Å, b = 2.897 Å, c = 7.950 Å
α = 90.00°, β = 90.00°, γ = 116.47°
Positions (direct):
Al: 0.500 0.500 0.250
Ru: 0.000 0.000 0.995
As: 0.500 0.500 0.750
Ru: 0.000 0.000 0.505

Summary:
Density of states at the Fermi level, states/eV per cell: 3.2
Formation enthalpy at 0 K, eV/atom: -0.018
Magnetization, μB per formula unit: 0.000
Offset from the most stable computed form, meV/atom: 386

---

10.
Density functional theory data (GGA-PBE) for an optimized crystal structure of AlAsRu2.

a = 3.771 Å, b = 2.913 Å, c = 5.601 Å
α = 73.00°, β = 90.00°, γ = 90.00°
Positions (direct):
Ru: 0.000 0.626 0.509
Ru: 0.000 0.874 0.991
Al: 0.500 0.250 0.250
As: 0.500 0.750 0.750

Summary:
Density of states at the Fermi level, states/eV per cell: 2.3
Formation enthalpy at 0 K, eV/atom: -0.175
Magnetization, μB per formula unit: 0.000
Offset from the most stable computed form, meV/atom: 229

---

11.
Density functional theory data (GGA-PBE) for an optimized crystal structure of AlAs4Ru.

a = 5.438 Å, b = 5.438 Å, c = 5.438 Å
α = 60.00°, β = 60.00°, γ = 60.00°
Site moments in Bohr magnetons follow the coordinates.
Positions (direct):
As: 0.626 0.626 0.123  0.01
Al: 0.000 0.000 0.000  -0.01
As: 0.123 0.626 0.626  0.01
As: 0.626 0.123 0.626  0.01
Ru: 0.250 0.250 0.250  1.31
As: 0.626 0.626 0.626  0.01

Summary:
Density of states at the Fermi level, states/eV per cell: 5.4
Formation enthalpy at 0 K, eV/atom: 0.740
Magnetization, μB per formula unit: 1.439

---

12.
Density functional theory data (GGA-PBE) for an optimized crystal structure of AlAsRu2.

a = 5.693 Å, b = 5.693 Å, c = 6.478 Å
α = 63.94°, β = 63.94°, γ = 90.00°
Positions (direct):
Ru: 0.112 0.625 0.250
As: 0.000 0.000 0.000
As: 0.750 0.250 0.500
Ru: 0.875 0.888 0.750
Al: 0.250 0.750 0.500
Ru: 0.375 0.362 0.750
Al: 0.500 0.500 0.000
Ru: 0.638 0.125 0.250

Summary:
Density of states at the Fermi level, states/eV per cell: 1.1
Formation enthalpy at 0 K, eV/atom: 0.487
Magnetization, μB per formula unit: 0.000
Offset from the most stable computed form, meV/atom: 891

---

13.
Density functional theory data (GGA-PBE) for an optimized crystal structure of AlAsRu.

a = 4.172 Å, b = 4.172 Å, c = 4.172 Å
α = 60.00°, β = 60.00°, γ = 60.00°
Positions (direct):
Ru: 0.750 0.750 0.750
Al: 0.000 0.000 0.000
As: 0.500 0.500 0.500

Summary:
Density of states at the Fermi level, states/eV per cell: 3.4
Formation enthalpy at 0 K, eV/atom: -0.189
Magnetization, μB per formula unit: 0.000

---

14.
Density functional theory data (GGA-PBE) for an optimized crystal structure of AlAsRu2.

a = 7.965 Å, b = 7.965 Å, c = 7.965 Å
α = 21.35°, β = 21.35°, γ = 21.35°
Site moments in Bohr magnetons follow the coordinates.
Positions (direct):
Ru: 0.003 0.003 0.003  0.12
As: 0.750 0.750 0.750  0.00
Al: 0.250 0.250 0.250  0.00
Ru: 0.497 0.497 0.497  0.12

Summary:
Density of states at the Fermi level, states/eV per cell: 4.7
Formation enthalpy at 0 K, eV/atom: -0.176
Magnetization, μB per formula unit: 0.255
Offset from the most stable computed form, meV/atom: 228

---

15.
Density functional theory data (GGA-PBE) for an optimized crystal structure of AlAsRu.

a = 4.233 Å, b = 4.233 Å, c = 2.996 Å
α = 90.00°, β = 90.00°, γ = 120.00°
Positions (direct):
As: 0.333 0.667 0.500
Al: 0.000 0.000 0.000
Ru: 0.667 0.333 0.500

Summary:
Density of states at the Fermi level, states/eV per cell: 2.2
Formation enthalpy at 0 K, eV/atom: -0.080
Magnetization, μB per formula unit: 0.000

---

16.
Density functional theory data (GGA-PBE) for an optimized crystal structure of AlAsRu2.

a = 2.834 Å, b = 2.834 Å, c = 8.548 Å
α = 90.00°, β = 90.00°, γ = 116.71°
Positions (direct):
Ru: 0.000 0.000 0.997
Ru: 0.500 0.500 0.256
As: 0.500 0.500 0.763
Al: 0.000 0.000 0.485

Summary:
Density of states at the Fermi level, states/eV per cell: 3.8
Formation enthalpy at 0 K, eV/atom: 0.241
Magnetization, μB per formula unit: 0.000
Offset from the most stable computed form, meV/atom: 645

---

17.
Density functional theory data (GGA-PBE) for an optimized crystal structure of AlSbAs2Ru.

a = 5.239 Å, b = 5.070 Å, c = 5.239 Å
α = 90.00°, β = 90.00°, γ = 90.00°
Site moments in Bohr magnetons follow the coordinates.
Positions (direct):
Ru: 0.500 0.500 0.500  2.42
Sb: 0.000 0.000 0.000  -0.01
Al: 0.000 0.500 0.000  -0.01
As: 0.000 0.000 0.500  -0.03
As: 0.500 0.000 0.000  0.00

Summary:
Density of states at the Fermi level, states/eV per cell: 5.0
Magnetization, μB per formula unit: 2.536
ΔE_f (raw), kJ per mole of atoms: 152

---

18.
Density functional theory data (GGA-PBE) for an optimized crystal structure of AlSbAsRu2.

a = 4.869 Å, b = 4.975 Å, c = 4.869 Å
α = 90.00°, β = 90.00°, γ = 90.00°
Positions (direct):
Al: 0.000 0.500 0.000
As: 0.500 0.500 0.500
Ru: 0.500 0.000 0.000
Sb: 0.000 0.000 0.000
Ru: 0.000 0.000 0.500

Summary:
Density of states at the Fermi level, states/eV per cell: 6.9
Magnetization, μB per formula unit: 0.027
ΔE_f (raw), kJ per mole of atoms: 142

---

19.
Density functional theory data (GGA-PBE) for an optimized crystal structure of AlAs2RuSe.

a = 4.734 Å, b = 4.734 Å, c = 4.792 Å
α = 90.00°, β = 90.00°, γ = 90.00°
Site moments in Bohr magnetons follow the coordinates.
Positions (direct):
Al: 0.000 0.000 0.000  0.00
Se: 0.000 0.000 0.500  -0.06
As: 0.000 0.500 0.000  -0.09
Ru: 0.500 0.500 0.500  1.64
As: 0.500 0.000 0.000  -0.09

Summary:
Density of states at the Fermi level, states/eV per cell: 5.9
Magnetization, μB per formula unit: 1.348
ΔE_f (raw), kJ per mole of atoms: 93
Offset from the most stable computed form, meV/atom: 510

---

20.
Density functional theory data (GGA-PBE) for an optimized crystal structure of AlAsRuSe2.

a = 5.047 Å, b = 5.047 Å, c = 4.596 Å
α = 90.00°, β = 90.00°, γ = 90.00°
Positions (direct):
Se: 0.000 0.500 0.000
Al: 0.500 0.500 0.500
Ru: 0.000 0.000 0.000
Se: 0.500 0.000 0.000
As: 0.000 0.000 0.500

Summary:
Density of states at the Fermi level, states/eV per cell: 6.6
Magnetization, μB per formula unit: 0.000
ΔE_f (raw), kJ per mole of atoms: 43
Offset from the most stable computed form, meV/atom: 0

---

21.
Density functional theory data (GGA-PBE) for an optimized crystal structure of AlAs2RuSe.

a = 4.639 Å, b = 4.639 Å, c = 5.443 Å
α = 90.00°, β = 90.00°, γ = 90.00°
Positions (direct):
As: 0.000 0.500 0.000
Se: 0.000 0.000 0.500
Al: 0.500 0.500 0.500
As: 0.500 0.000 0.000
Ru: 0.000 0.000 0.000

Summary:
Density of states at the Fermi level, states/eV per cell: 4.4
Magnetization, μB per formula unit: 0.000
ΔE_f (raw), kJ per mole of atoms: 44
Offset from the most stable computed form, meV/atom: 0

---

22.
Density functional theory data (GGA-PBE) for an optimized crystal structure of AlAsRuSe2.

a = 4.750 Å, b = 4.750 Å, c = 4.682 Å
α = 90.00°, β = 90.00°, γ = 90.00°
Positions (direct):
Ru: 0.500 0.500 0.500
As: 0.000 0.000 0.500
Al: 0.000 0.000 0.000
Se: 0.000 0.500 0.000
Se: 0.500 0.000 0.000

Summary:
Density of states at the Fermi level, states/eV per cell: 2.8
Magnetization, μB per formula unit: 0.000
ΔE_f (raw), kJ per mole of atoms: 82
Offset from the most stable computed form, meV/atom: 398

---

23.
Density functional theory data (GGA-PBE) for an optimized crystal structure of AlTcAsRu.

a = 4.293 Å, b = 4.293 Å, c = 4.293 Å
α = 60.00°, β = 60.00°, γ = 60.00°
Positions (direct):
Ru: 0.750 0.750 0.750
As: 0.000 0.000 0.000
Tc: 0.250 0.250 0.250
Al: 0.500 0.500 0.500

Summary:
Density of states at the Fermi level, states/eV per cell: 1.9
Formation enthalpy at 0 K, eV/atom: -0.264
Magnetization, μB per formula unit: 0.000

---

24.
Density functional theory data (GGA-PBE) for an optimized crystal structure of Al2AsRuW.

a = 4.631 Å, b = 4.748 Å, c = 4.631 Å
α = 90.00°, β = 90.00°, γ = 90.00°
Positions (direct):
W: 0.000 0.500 0.000
Al: 0.500 0.000 0.000
Al: 0.000 0.000 0.500
As: 0.500 0.500 0.500
Ru: 0.000 0.000 0.000

Summary:
Density of states at the Fermi level, states/eV per cell: 4.7
Formation enthalpy at 0 K, eV/atom: 0.725
Magnetization, μB per formula unit: 0.001

---

25.
Density functional theory data (GGA-PBE) for an optimized crystal structure of Zr2AlAsRu.

a = 5.039 Å, b = 4.403 Å, c = 5.039 Å
α = 90.00°, β = 90.00°, γ = 90.00°
Site moments in Bohr magnetons follow the coordinates.
Positions (direct):
As: 0.000 0.500 0.000  0.01
Al: 0.000 0.000 0.000  0.01
Zr: 0.500 0.000 0.000  -0.12
Ru: 0.500 0.500 0.500  1.21
Zr: 0.000 0.000 0.500  -0.13

Summary:
Density of states at the Fermi level, states/eV per cell: 5.4
Formation enthalpy at 0 K, eV/atom: 0.963
Magnetization, μB per formula unit: 0.882

---

26.
Density functional theory data (GGA-PBE) for an optimized crystal structure of AlAsS2.

a = 7.973 Å, b = 7.973 Å, c = 7.973 Å
α = 24.86°, β = 24.86°, γ = 24.86°
Positions (direct):
S: 0.109 0.109 0.109
S: 0.891 0.891 0.891
Al: 0.500 0.500 0.500
As: 0.000 0.000 0.000

Summary:
Density of states at the Fermi level, states/eV per cell: 0.6
Magnetization, μB per formula unit: 0.000
ΔE_f (raw), kJ per mole of atoms: -50
Offset from the most stable computed form, meV/atom: 0

---

27.
Density functional theory data (GGA-PBE) for an optimized crystal structure of AlAsS2.

a = 4.532 Å, b = 4.532 Å, c = 4.532 Å
α = 60.00°, β = 60.00°, γ = 60.00°
Positions (direct):
S: 0.750 0.750 0.750
S: 0.250 0.250 0.250
Al: 0.000 0.000 0.000
As: 0.500 0.500 0.500

Summary:
Density of states at the Fermi level, states/eV per cell: 1.8
Magnetization, μB per formula unit: 0.000
ΔE_f (raw), kJ per mole of atoms: 19
Offset from the most stable computed form, meV/atom: 713

---

28.
Density functional theory data (GGA-PBE) for an optimized crystal structure of Al2As2S7.

a = 6.557 Å, b = 6.966 Å, c = 6.966 Å
α = 82.03°, β = 115.89°, γ = 115.89°
Positions (direct):
Al: 0.500 0.320 0.680
S: 0.305 0.968 0.594
S: 0.214 0.458 0.458
Al: 0.500 0.680 0.320
S: 0.305 0.594 0.968
As: 0.888 0.183 0.183
S: 0.695 0.032 0.406
S: 0.695 0.406 0.032
As: 0.112 0.817 0.817
S: 0.786 0.542 0.542
S: 0.000 0.000 0.000

Summary:
Magnetization, μB per formula unit: 0.000
ΔE_f (raw), kJ per mole of atoms: -34

---

29.
Density functional theory data (GGA-PBE) for an optimized crystal structure of AlAs3S.

a = 4.813 Å, b = 4.813 Å, c = 4.813 Å
α = 90.00°, β = 90.00°, γ = 90.00°
Positions (direct):
As: 0.000 0.500 0.000
As: 0.000 0.000 0.500
Al: 0.000 0.000 0.000
As: 0.500 0.000 0.000
S: 0.500 0.500 0.500

Summary:
Density of states at the Fermi level, states/eV per cell: 6.2
Magnetization, μB per formula unit: 0.000
ΔE_f (raw), kJ per mole of atoms: 76
Offset from the most stable computed form, meV/atom: 60